Density functional theory data (meta-GGA SCAN) for a crystal of AsIr2Cl relaxed with PBEsol.

As for the energy above the most stable polymorph in this dataset: 0 meV per atom. For the total energy, the calculation gives -42.23 eV/atom. Its magnetic moment is 0.0 μB per cell. For the energy relative to the elements, uncorrected, the calculation gives 0.360 eV per atom.

The space group is Pmm2 (No. 25) and the conventional cell measures 2.7709, 3.2930 and 7.4882 Å, with angles of 90.00, 90.00 and 90.00 degrees. The inequivalent atoms are As at (0.0000, 0.0000, 0.0000), Ir at (0.0000, 0.0000, 0.5880), Ir at (0.5000, 0.5000, 0.8037) and Cl at (0.5000, 0.5000, 0.3712).



Density functional theory data (meta-GGA SCAN) for a crystal of Lu3Sn relaxed with PBEsol.

As for the formation energy: -0.44 eV/atom. For the total energy, the calculation gives -50.92 eV/atom. Its magnetic moment is 0.0 μB per cell.

The space group is I4/mmm (No. 139) and the conventional cell measures 4.4814, 4.4814 and 10.0428 Å, with angles of 90.00, 90.00 and 90.00 degrees. The inequivalent atoms are Lu at (0.0000, 0.0000, 0.0000), Lu at (0.0000, 0.5000, 0.2500) and Sn at (0.0000, 0.0000, 0.5000).



Density functional theory data (meta-GGA SCAN) for a crystal of LaTa2CuClO7 relaxed with PBEsol.

For the total energy, the calculation gives -23.02 eV/atom. Its magnetic moment is 1.0 μB per cell. For the energy relative to the elements, uncorrected, the calculation gives -2.765 eV per atom.

The space group is P4/mmm (No. 123) and the conventional cell measures 3.8619, 3.8619 and 11.6577 Å, with angles of 90.00, 90.00 and 90.00 degrees. The inequivalent atoms are La at (0.0000, 0.0000, 0.0000), Ta at (0.5000, 0.5000, 0.1915), Cu at (0.5000, 0.5000, 0.5000), Cl at (0.0000, 0.0000, 0.5000), O at (0.0000, 0.5000, 0.1540), O at (0.5000, 0.5000, 0.0000) and O at (0.5000, 0.5000, 0.3453).



Density functional theory data (meta-GGA SCAN) for a crystal of SiTeN2F relaxed with PBEsol.

As for the energy above the most stable polymorph in this dataset: 0 meV per atom. For the total energy, the calculation gives -13.67 eV/atom. Its magnetic moment is 0.0 μB per cell. For the energy relative to the elements, uncorrected, the calculation gives 0.208 eV per atom.

The space group is P4/mmm (No. 123) and the conventional cell measures 3.4497, 3.4497 and 5.7697 Å, with angles of 90.00, 90.00 and 90.00 degrees. The inequivalent atoms are Si at (0.0000, 0.0000, 0.0000), Te at (0.0000, 0.0000, 0.5000), N at (0.0000, 0.5000, 0.0000) and F at (0.5000, 0.5000, 0.5000).



Density functional theory data (meta-GGA SCAN) for a crystal of KZnCl2 relaxed with PBEsol.

As for the energy above the most stable polymorph in this dataset: 93 meV per atom. For the total energy, the calculation gives -10.49 eV/atom. Its magnetic moment is 0.9 μB per cell. For the energy relative to the elements, uncorrected, the calculation gives -1.037 eV per atom.

The space group is P4/mmm (No. 123) and the conventional cell measures 3.5772, 3.5772 and 6.9952 Å, with angles of 90.00, 90.00 and 90.00 degrees. The inequivalent atoms are K at (0.0000, 0.0000, 0.0000), Zn at (0.0000, 0.0000, 0.5000) and Cl at (0.5000, 0.5000, 0.2741).



Density functional theory data (meta-GGA SCAN) for a crystal of NaAu3F relaxed with PBEsol.

As for the energy above the most stable polymorph in this dataset: 0 meV per atom. For the total energy, the calculation gives -42.87 eV/atom. Its magnetic moment is 0.0 μB per cell. For the energy relative to the elements, uncorrected, the calculation gives 0.172 eV per atom.

The space group is Pm-3m (No. 221) and the conventional cell measures 4.6158, 4.6158 and 4.6158 Å, with angles of 90.00, 90.00 and 90.00 degrees. The inequivalent atoms are Na at (0.0000, 0.0000, 0.0000), Au at (0.0000, 0.5000, 0.5000) and F at (0.5000, 0.5000, 0.5000).



Density functional theory data (meta-GGA SCAN) for a crystal of Co3TeIr relaxed with PBEsol.

For the total energy, the calculation gives -30.93 eV/atom. Its magnetic moment is 7.6 μB per cell. For the energy relative to the elements, uncorrected, the calculation gives 1.119 eV per atom.

The space group is Pm-3m (No. 221) and the conventional cell measures 4.5108, 4.5108 and 4.5108 Å, with angles of 90.00, 90.00 and 90.00 degrees. The inequivalent atoms are Co at (0.0000, 0.0000, 0.5000), Te at (0.5000, 0.5000, 0.5000) and Ir at (0.0000, 0.0000, 0.0000).



Density functional theory data (meta-GGA SCAN) for a crystal of Ca3NiSb relaxed with PBEsol.

For the total energy, the calculation gives -16.29 eV/atom. Its magnetic moment is 0.1 μB per cell. For the energy relative to the elements, uncorrected, the calculation gives 0.200 eV per atom.

The space group is Pm-3m (No. 221) and the conventional cell measures 5.7546, 5.7546 and 5.7546 Å, with angles of 90.00, 90.00 and 90.00 degrees. The inequivalent atoms are Ca at (0.0000, 0.0000, 0.5000), Ni at (0.5000, 0.5000, 0.5000) and Sb at (0.0000, 0.0000, 0.0000).



Density functional theory data (meta-GGA SCAN) for a crystal of LiC2ClF relaxed with PBEsol.

For the total energy, the calculation gives -5.18 eV/atom. Its magnetic moment is 0.0 μB per cell. For the energy relative to the elements, uncorrected, the calculation gives 1.640 eV per atom.

The space group is P4/mmm (No. 123) and the conventional cell measures 3.4360, 3.4360 and 5.6171 Å, with angles of 90.00, 90.00 and 90.00 degrees. The inequivalent atoms are Li at (0.0000, 0.0000, 0.0000), C at (0.0000, 0.5000, 0.5000), Cl at (0.5000, 0.5000, 0.5000) and F at (0.5000, 0.5000, 0.0000).



Density functional theory data (meta-GGA SCAN) for a crystal of BeFeAu2 relaxed with PBEsol.

As for the formation energy: -0.17 eV/atom. For the total energy, the calculation gives -40.37 eV/atom. Its magnetic moment is 3.1 μB per cell.

The space group is P4/mmm (No. 123) and the conventional cell measures 2.8357, 2.8357 and 6.6895 Å, with angles of 90.00, 90.00 and 90.00 degrees. The inequivalent atoms are Be at (0.0000, 0.0000, 0.0000), Fe at (0.0000, 0.0000, 0.5000) and Au at (0.5000, 0.5000, 0.2218).



Density functional theory data (meta-GGA SCAN) for a crystal of BaMnAl2 relaxed with PBEsol.

As for the formation energy: 0.07 eV/atom. For the total energy, the calculation gives -18.25 eV/atom. Its magnetic moment is 3.6 μB per cell.

The space group is P4mm (No. 99) and the conventional cell measures 3.3202, 3.3202 and 7.8730 Å, with angles of 90.00, 90.00 and 90.00 degrees. The inequivalent atoms are Ba at (0.0000, 0.0000, 0.0000), Mn at (0.5000, 0.5000, 0.3237), Al at (0.0000, 0.0000, 0.4618) and Al at (0.5000, 0.5000, 0.6664).



Density functional theory data (meta-GGA SCAN) for a crystal of Li2TlGe2 relaxed with PBEsol.

As for the formation energy: -0.04 eV/atom. As for the energy above the most stable polymorph in this dataset: 124 meV per atom. For the total energy, the calculation gives -23.10 eV/atom. Its magnetic moment is 0.0 μB per cell.

The space group is I4/mmm (No. 139) and the conventional cell measures 4.0941, 4.0941 and 11.6146 Å, with angles of 90.00, 90.00 and 90.00 degrees. The inequivalent atoms are Li at (0.0000, 0.5000, 0.2500), Tl at (0.0000, 0.0000, 0.0000) and Ge at (0.0000, 0.0000, 0.3973).